No. 1
Entry from Alexandria: a PBEsol-optimized structure of NaIn2AsO (meta-GGA SCAN).

Summary:
As for the space group: P4/mmm. The formation energy (no corrections) comes out at -0.546 eV/atom. The density of states at the Fermi level is 1.6 states/eV/f.u. The crystal system is tetragonal. The calculated total energy is -20.03 eV per atom.

a b c (Å): 4.374 4.692 4.692
angles (deg): 90.00 90.00 90.00
Fractional coordinates of all 5 atoms:
In (0.000, 0.500, 0.000)
Na (0.500, 0.000, 0.000)
In (0.000, 0.000, 0.500)
As (0.500, 0.500, 0.500)
O (0.000, 0.000, 0.000)

No. 2
Entry from Alexandria: a PBEsol-optimized structure of YNOF2 (meta-GGA SCAN).

Summary:
As for the space group: P4/mmm. The formation energy (no corrections) comes out at -0.837 eV/atom. The density of states at the Fermi level is 1.0 states/eV/f.u. The crystal system is tetragonal. The calculated total energy is -10.93 eV per atom.

a b c (Å): 3.789 3.789 3.673
angles (deg): 90.00 90.00 90.00
Fractional coordinates of all 5 atoms:
F (0.500, 0.000, 0.000)
O (0.000, 0.000, 0.000)
Y (0.500, 0.500, 0.500)
N (0.000, 0.000, 0.500)
F (0.000, 0.500, 0.000)

No. 3
Entry from Alexandria: a PBEsol-optimized structure of BaAl2Se4 (meta-GGA SCAN).

Summary:
As for the space group: Cccm. The formation energy (no corrections) comes out at -1.495 eV/atom. The density of states at the Fermi level is 0.0 states/eV/f.u. The crystal system is orthorhombic. The calculated total energy is -20.83 eV per atom.

a b c (Å): 6.189 6.432 11.331
angles (deg): 90.00 90.00 118.76
Fractional coordinates of all 14 atoms:
Al (0.256, 0.515, 0.000)
Se (0.000, 0.500, 0.837)
Ba (0.000, 0.000, 0.750)
Se (0.000, 0.500, 0.163)
Se (0.674, 0.826, 0.000)
Al (0.744, 0.485, 0.000)
Se (0.500, 0.500, 0.663)
Ba (0.000, 0.000, 0.250)
Se (0.848, 0.174, 0.500)
Se (0.326, 0.174, 0.000)
Se (0.500, 0.500, 0.337)
Al (0.742, 0.485, 0.500)
Al (0.258, 0.515, 0.500)
Se (0.152, 0.826, 0.500)

No. 4
Entry from Alexandria: a PBEsol-optimized structure of CaMn2P4O14 (meta-GGA SCAN).

Summary:
As for the space group: P1. The formation energy (no corrections) comes out at -2.528 eV/atom. The crystal system is triclinic. The calculated total energy is -10.86 eV per atom.

a b c (Å): 6.164 6.165 7.543
angles (deg): 86.03 64.74 83.21
Fractional coordinates of all 21 atoms:
O (0.664, 0.315, 0.998)
O (0.234, 0.095, 0.959)
Mn (0.067, 0.153, 0.260)
P (0.789, 0.356, 0.767)
O (0.372, 0.587, 0.336)
Ca (0.358, 0.339, 0.565)
O (0.603, 0.406, 0.690)
O (0.043, 0.460, 0.260)
P (0.357, 0.880, 0.859)
O (0.364, 0.124, 0.287)
P (0.637, 0.116, 0.152)
O (0.739, 0.183, 0.293)
O (0.344, 0.692, 0.016)
Mn (0.923, 0.851, 0.746)
O (0.626, 0.891, 0.726)
O (0.954, 0.539, 0.736)
O (0.242, 0.810, 0.729)
P (0.196, 0.645, 0.248)
O (0.755, 0.910, 0.041)
O (0.975, 0.156, 0.674)
O (0.029, 0.855, 0.332)

What is the calculated total energy in the first record? -20.03 eV per atom

Copy entry 3 word for word.
Entry from Alexandria: a PBEsol-optimized structure of BaAl2Se4 (meta-GGA SCAN).

Summary:
As for the space group: Cccm. The formation energy (no corrections) comes out at -1.495 eV/atom. The density of states at the Fermi level is 0.0 states/eV/f.u. The crystal system is orthorhombic. The calculated total energy is -20.83 eV per atom.

a b c (Å): 6.189 6.432 11.331
angles (deg): 90.00 90.00 118.76
Fractional coordinates of all 14 atoms:
Al (0.256, 0.515, 0.000)
Se (0.000, 0.500, 0.837)
Ba (0.000, 0.000, 0.750)
Se (0.000, 0.500, 0.163)
Se (0.674, 0.826, 0.000)
Al (0.744, 0.485, 0.000)
Se (0.500, 0.500, 0.663)
Ba (0.000, 0.000, 0.250)
Se (0.848, 0.174, 0.500)
Se (0.326, 0.174, 0.000)
Se (0.500, 0.500, 0.337)
Al (0.742, 0.485, 0.500)
Al (0.258, 0.515, 0.500)
Se (0.152, 0.826, 0.500)

The lowest calculated total energy belongs to which entry? BaAl2Se4